(1)
LaDyCu | PBE-GGA | relaxed

Summary:
N(E_F), states/eV/atom: 1.257
Electronic total energy, eV per cell: -27.9
Energy of formation, meV/atom: -100.2
Distance to the lowest polymorph of the same formula, meV/atom: 0

abc: 3.5811 3.5811 12.5614
angles: 90.00 90.00 90.00
Last column: nearest neighbours and their distance in Å.
Space group I4mm (No. 107)
Unique sites:
1 La 0.0000 0.0000 0.0000 x2  4 Cu 3.23, 1 Dy 3.47, 4 La 3.58
2 Dy 0.0000 0.0000 0.2766 x2  4 Cu 2.93
3 Cu 0.0000 0.0000 0.6591 x2  4 Dy 2.93, 4 La 3.23

***

(2)
Ho2MgTc | PBE-GGA | relaxed

Summary:
N(E_F), states/eV/atom: 1.020
Electronic total energy, eV per cell: -20.9
Energy of formation, meV/atom: 60.5

abc: 4.8888 4.8888 3.7473
angles: 90.00 90.00 90.00
Last column: nearest neighbours and their distance in Å.
Space group P4/mmm (No. 123)
Unique sites:
1 Ho 0.0000 0.5000 0.0000 x2  4 Tc 3.08, 4 Mg 3.08
2 Mg 0.0000 0.0000 0.5000 x1  8 Ho 3.08
3 Tc 0.5000 0.5000 0.5000 x1  8 Ho 3.08